(1)
Entry from Alexandria via LeMat-Bulk: a relaxed structure of LaPr3Y7 (PBE-GGA).

Cell lengths 7.1675, 7.1675, 8.8184 Å; angles 90.00, 90.00, 120.00 degrees
Last column: nearest neighbours and their distance in Å.
Positions (direct):
La  0.0000  0.0000  0.0000  9 Y 3.55-3.58, 3 Pr 3.63
Pr  0.1669  0.3338  0.6614  4 Pr 3.58-3.59, 5 Y 3.60-3.63, 1 La 3.63
Pr  0.1669  0.8331  0.6614  4 Pr 3.58-3.59, 5 Y 3.60-3.63, 1 La 3.63
Pr  0.6662  0.8331  0.6614  4 Pr 3.58-3.59, 5 Y 3.60-3.63, 1 La 3.63
Y  0.0014  0.5007  0.0002  7 Y 3.52-3.60, 2 La 3.58, 2 Pr 3.63
Y  0.3329  0.1664  0.3269  1 La 3.55, 8 Y 3.55-3.59, 2 Pr 3.60
Y  0.3333  0.6667  0.3245  9 Y 3.52-3.58, 3 Pr 3.62
Y  0.4993  0.5007  0.0002  7 Y 3.52-3.60, 2 La 3.58, 2 Pr 3.63
Y  0.4993  0.9986  0.0002  7 Y 3.52-3.60, 2 La 3.58, 2 Pr 3.63
Y  0.8336  0.1664  0.3269  1 La 3.55, 8 Y 3.55-3.59, 2 Pr 3.60
Y  0.8336  0.6671  0.3269  1 La 3.55, 8 Y 3.55-3.59, 2 Pr 3.60

The volume is 392 Å³ per cell. The theoretical density comes out at 5.011 g/cm³. The space-group type is No. 156. The density of states at the Fermi level comes out at 18.36 states/eV/f.u. The offset from the most stable computed form comes out at 43.5 meV per atom.


(2)
Entry from Alexandria via LeMat-Bulk: a relaxed structure of PaBr4F (PBE-GGA).

Cell lengths 7.7008, 7.7008, 7.7008 Å; angles 95.01, 95.01, 145.61 degrees
Last column: nearest neighbours and their distance in Å.
Positions (direct):
Pa  0.0000  0.0000  0.0000  2 F 2.28
Br  0.0645  0.7517  0.8162  1 Pa 2.67
Br  0.2483  0.0645  0.3129  1 Pa 2.67
Br  0.7517  0.9355  0.6871  1 Pa 2.67
Br  0.9355  0.2483  0.1838  1 Pa 2.67
F  0.5000  0.5000  0.0000  2 Pa 2.28

The volume is 246 Å³ per cell. The theoretical density comes out at 3.838 g/cm³. The space-group type is No. 87. The density of states at the Fermi level comes out at 0.00 states/eV/f.u. For the uncorrected formation energy, the calculation gives -11.4 eV per formula unit.


(3)
Entry from Alexandria via LeMat-Bulk: a relaxed structure of HSeI3 (PBE-GGA).

Cell lengths 5.7548, 5.7548, 5.7548 Å; angles 90.00, 90.00, 90.00 degrees
Last column: nearest neighbours and their distance in Å.
Positions (direct):
H  0.0000  0.0000  0.0000  12 I 4.07
Se  0.5000  0.5000  0.5000  6 I 2.88
I  0.0000  0.5000  0.5000  2 Se 2.88
I  0.5000  0.0000  0.5000  2 Se 2.88
I  0.5000  0.5000  0.0000  2 Se 2.88

The volume is 191 Å³ per cell. The theoretical density comes out at 4.014 g/cm³. The space-group type is No. 221. The density of states at the Fermi level comes out at 3.78 states/eV/f.u. The offset from the most stable computed form comes out at 517.5 meV per atom.


(4)
Entry from Alexandria via LeMat-Bulk: a relaxed structure of Sm2EuHo (PBE-GGA).

Cell lengths 5.9999, 5.9999, 3.8237 Å; angles 90.00, 90.00, 90.00 degrees
Last column: nearest neighbours and their distance in Å.
Positions (direct):
Sm  0.0000  0.5000  0.0000  4 Ho 3.56, 4 Eu 3.56, 2 Sm 3.82
Sm  0.5000  0.0000  0.0000  4 Ho 3.56, 4 Eu 3.56, 2 Sm 3.82
Eu  0.0000  0.0000  0.5000  8 Sm 3.56, 2 Eu 3.82
Ho  0.5000  0.5000  0.5000  8 Sm 3.56, 2 Ho 3.82

The volume is 138 Å³ per cell. The theoretical density comes out at 7.451 g/cm³. The space-group type is No. 123. The density of states at the Fermi level comes out at 6.91 states/eV/f.u. The offset from the most stable computed form comes out at 95.5 meV per atom.